TlTcSe2 after structural relaxation. Source: OQMD, functional PBE.

a b c (Å): 3.479 5.925 9.687
angles (deg): 80.03 89.97 90.00
Positions (direct):
Se  0.081  0.751  0.479
Se  0.081  0.994  0.796
Se  0.581  0.266  0.432
Se  0.581  0.510  0.750
Tc  0.081  0.326  0.610
Tc  0.581  0.935  0.619
Tl  0.567  0.393  0.082
Tl  0.067  0.874  0.147

Properties
size of the total moment: 0.582 μB per formula unit
total energy: -5.26 eV per atom